{"formula": "DyY6Pd3", "functional": "PBE", "state": "optimized geometry", "ef_ev_per_atom": -0.4991, "e_tot_ev_per_cell": -127.91, "space_group": "No. 36", "n_ef_per_ev_atom": 1.138, "lattice": [[5.700, -6.638, 0.000], [5.700, 6.638, 0.000], [0.000, 0.000, 7.257]], "species": ["Dy", "Dy", "Y", "Y", "Y", "Y", "Y", "Y", "Y", "Y", "Y", "Y", "Y", "Y", "Pd", "Pd", "Pd", "Pd", "Pd", "Pd"], "frac_coords": [[0.181, 0.819, 0.500], [0.819, 0.181, 0.000], [0.080, 0.466, 0.719], [0.129, 0.208, 0.373], [0.208, 0.129, 0.873], [0.271, 0.729, 0.024], [0.465, 0.535, 0.384], [0.466, 0.080, 0.219], [0.534, 0.920, 0.719], [0.535, 0.465, 0.884], [0.729, 0.271, 0.524], [0.792, 0.871, 0.373], [0.871, 0.792, 0.873], [0.920, 0.534, 0.219], [0.078, 0.922, 0.168], [0.209, 0.412, 0.086], [0.412, 0.209, 0.586], [0.588, 0.791, 0.086], [0.791, 0.588, 0.586], [0.922, 0.078, 0.668]]}